Entry 1:
Ba2FeCl: optimized geometry, PBE.

Geometry as extended XYZ:
```
8
Lattice="5.3490 0.0000 0.0000 0.0000 3.8914 0.0000 0.0000 0.0000 12.3931" Properties=species:S:1:pos:R:3 pbc="T T T"
Ba 0.0000 0.0000 0.0000
Ba 0.0000 1.9457 6.1966
Ba 2.6745 0.0000 3.1761
Ba 2.6745 1.9457 9.3727
Fe 0.0000 0.0000 9.3020
Fe 0.0000 1.9457 3.1054
Cl 2.6745 0.0000 6.3926
Cl 2.6745 1.9457 0.1960
```

Computed properties:
**Formation energy from raw total energies**: -1.52 eV/f.u.
**E above lowest polymorph**: 5.9 kJ/mol of atoms


Entry 2:
Zr2AlV: optimized geometry, PBE.

Geometry as extended XYZ:
```
16
Lattice="7.5237 0.0000 0.0000 0.0000 7.5237 0.0000 0.0000 0.0000 5.5989" Properties=species:S:1:pos:R:3 pbc="T T T"
Zr 1.8159 1.8809 0.6999
Zr 1.8809 5.5777 2.0996
Zr 1.8809 5.7078 4.8991
Zr 1.9460 1.8809 3.4993
Zr 5.5777 5.6428 3.4993
Zr 5.6428 1.8159 4.8991
Zr 5.6428 1.9460 2.0996
Zr 5.7078 5.6428 0.6999
Al 0.0000 0.0000 2.7995
Al 0.0000 3.7618 4.1992
Al 3.7618 0.0000 1.3997
Al 3.7618 3.7618 0.0000
V 0.0000 0.0000 0.0000
V 0.0000 3.7618 1.3997
V 3.7618 0.0000 4.1992
V 3.7618 3.7618 2.7995
```

Computed properties:
**E_form**: 356 meV/atom


Total magnetic moment in μB per cell, matching the order above: 3.2 2.5
DFT total energy in eV/atom, matching the order above: -3.92 -7.13